A plane-wave DFT calculation with PBE-GGA was carried out for an optimized crystal structure of Ba2Li2CaPb5.

## Properties
- N(E_F): 0.520 states/eV per atom
- Final energy: -0.2411 Ry per atom
- Energy relative to the elements: -459 meV per atom

Unit cell a=4.7282 b=11.3744 c=11.3744 alpha=90.00 beta=90.00 gamma=90.00
Fractional positions:
1 Ca 0.0000 0.5000 0.5000
2 Ca 0.0000 0.0000 0.0000
3 Ba 0.0000 0.1780 0.3220
4 Ba 0.0000 0.6780 0.1780
5 Ba 0.0000 0.3220 0.8220
6 Ba 0.0000 0.8220 0.6780
7 Li 0.0000 0.3837 0.1163
8 Li 0.0000 0.8837 0.3837
9 Li 0.0000 0.1163 0.6163
10 Li 0.0000 0.6163 0.8837
11 Pb 0.5000 0.2876 0.5662
12 Pb 0.5000 0.2124 0.0662
13 Pb 0.5000 0.4338 0.2876
14 Pb 0.5000 0.5000 0.0000
15 Pb 0.5000 0.0662 0.7876
16 Pb 0.5000 0.0000 0.5000
17 Pb 0.5000 0.7876 0.9338
18 Pb 0.5000 0.7124 0.4338
19 Pb 0.5000 0.5662 0.7124
20 Pb 0.5000 0.9338 0.2124